# Pm2CrAs | the Alexandria database | PBE | relaxed
# Formation energy, kJ per mole of atoms: -28.1
# SG: No. 123
# Calculated volume, A^3/atom: 24.423
data_Pm2CrAs
_symmetry_space_group_name_H-M 'P 1'
_symmetry_Int_Tables_number 1
_cell_length_a 5.038
_cell_length_b 5.038
_cell_length_c 3.849
_cell_angle_alpha 90.00
_cell_angle_beta 90.00
_cell_angle_gamma 90.00
loop_
_symmetry_equiv_pos_as_xyz
'x,y,z'
loop_
_atom_site_label
_atom_site_type_symbol
_atom_site_fract_x
_atom_site_fract_y
_atom_site_fract_z
Pm1 Pm 0.000 0.500 0.000
Pm2 Pm 0.500 0.000 0.000
Cr1 Cr 0.000 0.000 0.500
As1 As 0.500 0.500 0.500

***

# Pm2CrAs4Rh3 | the Alexandria database | PBE | relaxed
# Formation energy, kJ per mole of atoms: -80.1
# SG: No. 115
# Calculated volume, A^3/atom: 18.473
data_Pm2CrAs4Rh3
_symmetry_space_group_name_H-M 'P 1'
_symmetry_Int_Tables_number 1
_cell_length_a 4.259
_cell_length_b 4.259
_cell_length_c 10.184
_cell_angle_alpha 90.00
_cell_angle_beta 90.00
_cell_angle_gamma 90.00
loop_
_symmetry_equiv_pos_as_xyz
'x,y,z'
loop_
_atom_site_label
_atom_site_type_symbol
_atom_site_fract_x
_atom_site_fract_y
_atom_site_fract_z
Pm1 Pm 0.000 0.500 0.242
Pm2 Pm 0.500 0.000 0.758
Cr1 Cr 0.000 0.000 0.500
As1 As 0.000 0.000 0.000
As2 As 0.000 0.500 0.636
As3 As 0.500 0.000 0.364
As4 As 0.500 0.500 0.000
Rh1 Rh 0.000 0.500 0.877
Rh2 Rh 0.500 0.000 0.123
Rh3 Rh 0.500 0.500 0.500

***

# PrCrAs3 | the Alexandria database | PBE | relaxed
# Formation energy, kJ per mole of atoms: -64.4
# SG: No. 57
# Calculated volume, A^3/atom: 20.305
data_PrCrAs3
_symmetry_space_group_name_H-M 'P 1'
_symmetry_Int_Tables_number 1
_cell_length_a 12.533
_cell_length_b 5.709
_cell_length_c 5.675
_cell_angle_alpha 90.00
_cell_angle_beta 90.00
_cell_angle_gamma 90.00
loop_
_symmetry_equiv_pos_as_xyz
'x,y,z'
loop_
_atom_site_label
_atom_site_type_symbol
_atom_site_fract_x
_atom_site_fract_y
_atom_site_fract_z
Pr1 Pr 0.190 0.004 0.250
Pr2 Pr 0.190 0.496 0.750
Pr3 Pr 0.810 0.504 0.250
Pr4 Pr 0.810 0.996 0.750
Cr1 Cr 0.416 0.750 0.000
Cr2 Cr 0.416 0.750 0.500
Cr3 Cr 0.584 0.250 0.000
Cr4 Cr 0.584 0.250 0.500
As1 As 0.002 0.750 0.000
As2 As 0.002 0.750 0.500
As3 As 0.293 0.505 0.250
As4 As 0.293 0.995 0.750
As5 As 0.434 0.105 0.250
As6 As 0.434 0.395 0.750
As7 As 0.566 0.605 0.250
As8 As 0.566 0.895 0.750
As9 As 0.707 0.005 0.250
As10 As 0.707 0.495 0.750
As11 As 0.998 0.250 0.000
As12 As 0.998 0.250 0.500

***

# Pr2CrAs4Rh3 | the Alexandria database | PBE | relaxed
# Formation energy, kJ per mole of atoms: -80.9
# SG: No. 115
# Calculated volume, A^3/atom: 18.767
data_Pr2CrAs4Rh3
_symmetry_space_group_name_H-M 'P 1'
_symmetry_Int_Tables_number 1
_cell_length_a 4.291
_cell_length_b 4.291
_cell_length_c 10.191
_cell_angle_alpha 90.00
_cell_angle_beta 90.00
_cell_angle_gamma 90.00
loop_
_symmetry_equiv_pos_as_xyz
'x,y,z'
loop_
_atom_site_label
_atom_site_type_symbol
_atom_site_fract_x
_atom_site_fract_y
_atom_site_fract_z
Pr1 Pr 0.000 0.500 0.242
Pr2 Pr 0.500 0.000 0.758
Cr1 Cr 0.000 0.000 0.500
As1 As 0.000 0.000 0.000
As2 As 0.000 0.500 0.635
As3 As 0.500 0.000 0.365
As4 As 0.500 0.500 0.000
Rh1 Rh 0.000 0.500 0.879
Rh2 Rh 0.500 0.000 0.121
Rh3 Rh 0.500 0.500 0.500

***

Taking the records one at a time from the top gives DFT total energy values of -6.234; -6.808; -6.338; -6.822 eV per atom.